No. 1
The following is a PBE calculation of crystalline Sc2CrPb at its relaxed geometry, from the Alexandria database.

Values from the calculation:
Its symmetry is C2/m, No. 12. The calculation puts the calculated total energy at -6.349 eV/atom. The calculation puts the density of states at the Fermi level at 0.875 states/eV per atom.

Structure (POSCAR):
```
Sc2CrPb
1.0
5.027 -0.012 -0.036
3.967 3.087 -0.036
0.947 0.324 5.842
Sc Cr Pb
2 1 1
Cartesian
4.970 1.699 2.773
8.994 3.075 0.039
2.485 0.850 1.442
7.456 2.549 4.327
```

---

No. 2
The following is a PBE calculation of crystalline Nb4Te5H at its relaxed geometry, from the Alexandria database.

Values from the calculation:
Its symmetry is C2/m, No. 12. The calculation puts the calculated total energy at -6.229 eV/atom. The calculation puts the density of states at the Fermi level at 0.504 states/eV per atom.

Structure (POSCAR):
```
Nb4Te5H
1.0
3.464 0.000 0.000
0.000 7.863 -0.400
-1.732 -1.542 8.201
Nb H Te
4 1 5
Cartesian
0.000 6.198 5.721
1.732 0.123 2.080
1.732 0.017 8.033
0.000 6.304 -0.231
1.732 0.000 0.000
0.000 5.965 2.584
0.000 2.255 2.500
1.732 4.066 5.301
1.732 3.932 -0.200
1.732 0.356 5.217
```

---

No. 3
The following is a PBE calculation of crystalline KMo2PBr at its relaxed geometry, from the Alexandria database.

Values from the calculation:
Its symmetry is P4/mmm, No. 123. The calculation puts the calculated total energy at -3.340 eV/atom. The uncorrected formation energy comes out at 2628 meV per atom. The calculation puts the density of states at the Fermi level at 0.526 states/eV per atom.

Structure (POSCAR):
```
KMo2PBr
1.0
6.026 0.000 0.000
0.000 5.385 0.000
0.000 0.000 6.026
Br K P Mo
1 1 1 2
Cartesian
3.013 2.692 3.013
0.000 0.000 0.000
0.000 2.692 0.000
3.013 0.000 0.000
0.000 0.000 3.013
```

---

No. 4
The following is a PBE calculation of crystalline Re2POs at its relaxed geometry, from the Alexandria database.

Values from the calculation:
Its symmetry is Amm2, No. 38. The calculation puts the calculated total energy at -10.391 eV/atom. The calculation puts the density of states at the Fermi level at 0.523 states/eV per atom.

Structure (POSCAR):
```
Re2POs
1.0
1.420 -5.083 0.000
1.420 5.083 0.000
0.000 0.000 3.937
Re Os P
2 1 1
Cartesian
1.420 0.548 1.969
1.420 4.359 0.000
1.420 -3.081 0.000
1.420 -1.796 1.969
```

---

No. 5
The following is a PBE calculation of crystalline PaNi6Ir at its relaxed geometry, from the Alexandria database.

Values from the calculation:
Its symmetry is Pm-3, No. 200. The calculation puts the calculated total energy at -6.740 eV/atom. The calculation puts the density of states at the Fermi level at 1.073 states/eV per atom.

Structure (POSCAR):
```
PaNi6Ir
1.0
4.732 0.000 0.000
0.000 4.732 0.000
0.000 0.000 4.732
Ir Pa Ni
1 1 6
Cartesian
0.000 0.000 0.000
2.366 2.366 2.366
0.000 2.366 1.147
3.584 0.000 2.366
2.366 1.147 0.000
0.000 2.366 3.584
2.366 3.584 0.000
1.147 0.000 2.366
```

---

No. 6
The following is a PBE calculation of crystalline NaCd3Si at its relaxed geometry, from the Alexandria database.

Values from the calculation:
Its symmetry is Pm-3m, No. 221. The calculation puts the calculated total energy at -1.625 eV/atom. The uncorrected formation energy comes out at 273 meV per atom. The calculation puts the density of states at the Fermi level at 0.834 states/eV per atom. The energy above the most stable polymorph in this dataset comes out at 0.00 eV per formula unit.

Structure (POSCAR):
```
NaCd3Si
1.0
-4.550 2.402 -1.128
-1.855 -1.277 4.762
1.899 4.511 1.949
Cd Na Si
3 1 1
Cartesian
0.949 2.255 0.974
-2.275 1.201 -0.564
-0.927 -0.638 2.381
-2.253 2.818 2.792
0.000 0.000 0.000
```